! TmGeRu2, optimized geometry, DFT PBE; values from VASP
&SYSTEM
  ibrav = 0, nat = 4, ntyp = 3
/
ATOMIC_SPECIES
Tm 168.93 Tm.upf
Ge 72.64 Ge.upf
Ru 101.07 Ru.upf
CELL_PARAMETERS angstrom
4.424 0.000 0.000
0.000 4.424 0.000
0.000 0.000 3.289
ATOMIC_POSITIONS crystal
Tm 0.000 0.000 0.000
Ge 0.500 0.500 0.000
Ru 0.000 0.500 0.500
Ru 0.500 0.000 0.500
! Space group ... P4/mmm
! DFT formation energy ... -0.400 eV per atom
! M_tot ... 0.0 μB per formula unit